! NaZn2NiPd, optimized geometry, DFT PBE; values from VASP
&SYSTEM
  ibrav = 0, nat = 5, ntyp = 4
/
ATOMIC_SPECIES
Zn 65.41 Zn.upf
Ni 58.69 Ni.upf
Na 22.99 Na.upf
Pd 106.42 Pd.upf
ATOMIC_POSITIONS crystal
Zn 0.0000 0.5000 0.0000
Ni 0.0000 0.0000 0.0000
Na 0.5000 0.5000 0.5000
Pd 0.0000 0.0000 0.5000
Zn 0.5000 0.0000 0.0000
CELL_PARAMETERS angstrom
4.5751 0.0000 0.0000
0.0000 4.5751 0.0000
0.0000 0.0000 4.8073
! M_tot in μB/f.u.: 0.00
! E in eV/cell: -14.000

---

! Tm5Ge4, optimized geometry, DFT PBE; values from VASP
&SYSTEM
  ibrav = 0, nat = 9, ntyp = 2
/
ATOMIC_SPECIES
Ge 72.64 Ge.upf
Tm 168.93 Tm.upf
ATOMIC_POSITIONS crystal
Ge 0.3683 0.6543 0.6091
Tm 0.0966 0.1968 0.6101
Ge 0.5456 0.7435 0.1653
Ge 0.6317 0.3457 0.3909
Ge 0.4544 0.2565 0.8347
Tm 0.2453 0.3404 0.1690
Tm 0.0000 0.0000 0.0000
Tm 0.7547 0.6596 0.8310
Tm 0.9034 0.8032 0.3899
CELL_PARAMETERS angstrom
-4.1754 -0.3372 -0.7624
-1.3278 -5.0541 -2.3821
-3.0698 -5.2127 7.2283
! M_tot in μB/f.u.: 0.00
! ΔE to the lowest computed polymorph in meV per atom: 75

---

! NaCoRu, optimized geometry, DFT PBE; values from VASP
&SYSTEM
  ibrav = 0, nat = 6, ntyp = 3
/
ATOMIC_SPECIES
Co 58.93 Co.upf
Na 22.99 Na.upf
Ru 101.07 Ru.upf
ATOMIC_POSITIONS crystal
Co 0.5000 0.7500 0.7500
Na 0.0000 0.3436 0.3436
Na 0.0000 0.6564 0.6564
Ru 0.6045 0.5932 0.4068
Ru 0.3955 0.4068 0.5932
Co 0.5000 0.2500 0.2500
CELL_PARAMETERS angstrom
-0.0743 8.6182 -0.4039
-4.4320 1.8297 -0.8087
-4.0010 -1.8439 2.0583
! M_tot in μB/f.u.: 1.91
! ΔE to the lowest computed polymorph in meV per atom: 121

---

! EuHgBiAs, optimized geometry, DFT PBE; values from VASP
&SYSTEM
  ibrav = 0, nat = 4, ntyp = 4
/
ATOMIC_SPECIES
Hg 200.59 Hg.upf
As 74.92 As.upf
Eu 151.96 Eu.upf
Bi 208.98 Bi.upf
ATOMIC_POSITIONS crystal
Hg 0.5000 0.5000 0.5000
As 0.0000 0.0000 0.0000
Eu 0.7500 0.7500 0.7500
Bi 0.2500 0.2500 0.2500
CELL_PARAMETERS angstrom
5.3447 0.0000 0.0000
2.6724 4.6287 0.0000
2.6724 1.5429 4.3639
! M_tot in μB/f.u.: 6.79
! E in eV/cell: -20.645

---

Q: The highest M_tot belongs to which entry?
A: EuHgBiAs

---

Q: Which value of M_tot does entry 4 give?
A: 6.79 μB/f.u.

---

Q: M_tot of number 3 (NaCoRu)?
A: 1.91 μB/f.u.